Material: SrBeW2
Method: DFT, PBE
State: relaxed

a = 5.638 Å, b = 5.638 Å, c = 5.638 Å
α = 147.12°, β = 122.61°, γ = 67.75°
Sites, in units of the cell vectors:
Sr  0.000  0.000  0.000
Be  0.715  0.215  0.500
W  0.301  0.801  0.500
W  0.507  0.507  0.000

Summary:
Formation energy, eV per atom: 1.220
Calculated volume, Å³/atom: 20.22
Total magnetic moment, Bohr magnetons per cell: 0.0
Crystal system: orthorhombic